## YZnCo2 (PBE-GGA)

Data for a relaxed YZnCo2 crystal.

```
YZnCo2
1.0
3.2426 0.0000 0.0000
0.0000 3.2939 0.0000
0.0000 0.0000 5.9801
Y Zn Co
1 1 2
direct
0.0000 0.0000 0.0000 Y
0.0000 0.0000 0.5000 Zn
0.5000 0.5000 0.3063 Co
0.5000 0.5000 0.6937 Co
```

volume	15.968	A^3/atom
energy of formation	0.01	eV per atom